# 1
VASP calculation (PBE) on a relaxed structure of TaTlMo2.

## Properties
Space-group type = No. 12
Formation enthalpy at 0 K = 479 meV per atom
Total magnetic moment = 0.0 Bohr magnetons per cell

Structure (extended XYZ):
```
4
Lattice="5.456 0.000 0.000 -2.413 4.894 0.000 0.522 0.839 2.686" Properties=species:S:1:pos:R:3 pbc="T T T"
Mo 0.000 0.000 0.000
Mo 1.522 2.447 0.000
Ta 2.989 0.420 1.343
Tl -0.946 2.867 1.343
```



# 2
VASP calculation (PBE) on a relaxed structure of KAg3Ru.

## Properties
Space-group type = No. 221
Formation enthalpy at 0 K = 797 meV per atom
Total magnetic moment = 2.0 Bohr magnetons per cell

Structure (extended XYZ):
```
5
Lattice="5.210 0.000 0.000 0.000 5.210 0.000 0.000 0.000 5.210" Properties=species:S:1:pos:R:3 pbc="T T T"
Ru 0.000 0.000 0.000
K 2.605 2.605 2.605
Ag 0.000 2.605 0.000
Ag 0.000 0.000 2.605
Ag 2.605 0.000 0.000
```



# 3
VASP calculation (PBE) on a relaxed structure of Na2GeSbAu6.

## Properties
Space-group type = No. 59
E_form (uncorrected) = -0.17 eV per atom
Total magnetic moment = 0.0 Bohr magnetons per cell

Structure (extended XYZ):
```
20
Lattice="5.736 0.000 0.000 0.000 9.239 0.000 0.000 0.000 9.065" Properties=species:S:1:pos:R:3 pbc="T T T"
Na 2.868 6.810 2.244
Na 0.000 2.428 6.776
Na 2.868 6.810 6.821
Na 0.000 2.428 2.289
Ge 2.868 2.266 4.532
Ge 0.000 6.973 0.000
Sb 0.000 6.635 4.532
Sb 2.868 2.604 0.000
Au 2.868 1.070 2.251
Au 2.868 1.070 6.814
Au 0.000 8.168 2.281
Au 0.000 8.168 6.784
Au 1.410 0.068 4.532
Au 4.326 0.068 4.532
Au 1.436 4.341 4.532
Au 4.300 4.341 4.532
Au 4.305 4.898 0.000
Au 1.432 4.898 0.000
Au 1.458 9.171 0.000
Au 4.278 9.171 0.000
```